Entry from Alexandria via LeMat-Bulk: an optimized crystal structure of PrHoLu (GGA-PBE).

Relative energy among the computed polymorphs = 50.9 meV/atom
Raw total energy = -13.628 eV per cell
Spin magnetization = 0.00 μB/cell
E_form = 8.03 kJ per mole of atoms

```
PrHoLu
1.0
5.6573 0.0000 0.0000
-2.8287 4.8994 0.0000
0.0000 0.0000 3.4745
Pr Ho Lu
1 1 1
Direct
0.0000 0.0000 0.0000
0.6667 0.3333 0.5000
0.3333 0.6667 0.5000
```